Crystalline AgW2Se at its relaxed geometry. Source: Alexandria via LeMat-Bulk, functional GGA-PBEsol.

Results
Space-group type: C2/m (12)
Formation energy (no corrections), eV per atom: 0.82
ρ, g/cm3: 14.2
VASP energy, eV per cell: -62.96

```
data_AgW2Se
_chemical_formula_sum 'Ag2 W4 Se2'
_space_group_name_H-M_alt 'P 1'
_space_group_IT_number 1
_cell_length_a 5.440
_cell_length_b 8.900
_cell_length_c 2.825
_cell_angle_alpha 90.00
_cell_angle_beta 109.04
_cell_angle_gamma 90.00
loop_
_space_group_symop_operation_xyz
'x,y,z'
loop_
_atom_site_label
_atom_site_type_symbol
_atom_site_fract_x
_atom_site_fract_y
_atom_site_fract_z
Ag1 Ag 0.000 0.000 0.000
Ag2 Ag 0.500 0.500 0.000
W1 W 0.250 0.250 0.500
W2 W 0.250 0.750 0.500
W3 W 0.750 0.250 0.500
W4 W 0.750 0.750 0.500
Se1 Se 0.000 0.500 0.000
Se2 Se 0.500 0.000 0.000
```